Entry 1:
{
  "formula": "BeAlZn2",
  "functional": "PBE",
  "state": "relaxed",
  "crystal_system": "trigonal",
  "spacegroup": "No. 166",
  "e_above_lowest_polymorph_kj_per_mol_atoms": 1.81,
  "cell": [[8.265, -0.070, -0.041], [7.810, 2.707, -0.041], [7.810, 1.281, 2.385]],
  "species": ["Al", "Zn", "Zn", "Be"],
  "fractional_positions": [[0.250, 0.250, 0.250], [0.008, 0.008, 0.008], [0.492, 0.492, 0.492], [0.750, 0.750, 0.750]]
}

=====

Entry 2:
{
  "formula": "BeAl2Zn",
  "functional": "PBE",
  "state": "relaxed",
  "crystal_system": "cubic",
  "spacegroup": "No. 225",
  "e_above_lowest_polymorph_kj_per_mol_atoms": 14.01,
  "cell": [[0.000, 3.062, 3.062], [3.062, 0.000, 3.062], [3.062, 3.062, 0.000]],
  "species": ["Al", "Al", "Zn", "Be"],
  "fractional_positions": [[0.250, 0.250, 0.250], [0.750, 0.750, 0.750], [0.500, 0.500, 0.500], [0.000, 0.000, 0.000]]
}

=====

Entry 3:
{
  "formula": "Be2AlZn",
  "functional": "PBE",
  "state": "relaxed",
  "crystal_system": "tetragonal",
  "spacegroup": "No. 139",
  "e_above_lowest_polymorph_kj_per_mol_atoms": 8.31,
  "cell": [[-1.353, 3.282, 2.657], [-3.684, 1.740, -1.750], [1.074, -4.206, 0.906]],
  "species": ["Be", "Be", "Al", "Zn"],
  "fractional_positions": [[0.000, 0.000, 0.000], [0.500, 0.500, 0.000], [0.250, 0.750, 0.500], [0.750, 0.250, 0.500]]
}

=====

Entry 4:
{
  "formula": "Be2AlZn",
  "functional": "PBE",
  "state": "relaxed",
  "crystal_system": "orthorhombic",
  "spacegroup": "No. 47",
  "e_above_lowest_polymorph_kj_per_mol_atoms": 6.15,
  "cell": [[2.638, 0.000, 0.000], [0.000, 3.567, 0.000], [0.000, 0.000, 5.172]],
  "species": ["Be", "Be", "Al", "Zn"],
  "fractional_positions": [[0.000, 0.000, 0.505], [0.000, 0.000, 0.995], [0.500, 0.500, 0.750], [0.500, 0.500, 0.250]]
}

=====

Entry 5:
{
  "formula": "BeAlZn2",
  "functional": "PBE",
  "state": "relaxed",
  "crystal_system": "orthorhombic",
  "spacegroup": "No. 22",
  "e_above_lowest_polymorph_kj_per_mol_atoms": 4.42,
  "cell": [[4.714, -0.417, -0.464], [1.715, 4.411, 0.464], [-2.997, -2.347, 2.526]],
  "species": ["Zn", "Zn", "Al", "Be"],
  "fractional_positions": [[0.750, 0.250, 0.500], [0.000, 0.000, 0.000], [0.500, 0.500, 0.000], [0.250, 0.750, 0.500]]
}

=====

Entry 6:
{
  "formula": "BeAl2Zn",
  "functional": "PBE",
  "state": "relaxed",
  "crystal_system": "monoclinic",
  "spacegroup": "No. 8",
  "e_above_lowest_polymorph_kj_per_mol_atoms": 4.23,
  "cell": [[-2.991, -3.771, -0.619], [-0.851, -4.308, -2.068], [1.436, -3.216, 3.312]],
  "species": ["Zn", "Al", "Al", "Be"],
  "fractional_positions": [[0.227, 0.227, 0.240], [0.767, 0.767, 0.710], [0.993, 0.993, 0.019], [0.512, 0.512, 0.532]]
}

=====

Entry 7:
{
  "formula": "BeAlZn2",
  "functional": "PBE",
  "state": "relaxed",
  "crystal_system": "monoclinic",
  "spacegroup": "No. 12",
  "e_above_lowest_polymorph_kj_per_mol_atoms": 6.65,
  "cell": [[-2.155, 3.051, -2.400], [0.109, -5.029, -2.092], [-2.256, -1.335, 0.913]],
  "species": ["Al", "Zn", "Zn", "Be"],
  "fractional_positions": [[0.000, 0.500, 0.500], [0.000, 0.000, 0.000], [0.500, 0.000, 0.500], [0.500, 0.500, 0.000]]
}

=====

Entry 8:
{
  "formula": "Be2AlZn",
  "functional": "PBE",
  "state": "relaxed",
  "crystal_system": "trigonal",
  "spacegroup": "No. 166",
  "e_above_lowest_polymorph_kj_per_mol_atoms": 6.78,
  "cell": [[7.920, -0.006, -0.003], [7.464, 2.651, -0.003], [7.464, 1.283, 2.320]],
  "species": ["Zn", "Be", "Be", "Al"],
  "fractional_positions": [[0.250, 0.250, 0.250], [0.502, 0.502, 0.502], [0.998, 0.998, 0.998], [0.750, 0.750, 0.750]]
}

=====

Entry 9:
{
  "formula": "Be3AlZn",
  "functional": "PBE",
  "state": "relaxed",
  "crystal_system": "cubic",
  "spacegroup": "No. 221",
  "e_above_lowest_polymorph_kj_per_mol_atoms": 0.00,
  "cell": [[4.145, 0.000, 0.000], [0.000, 4.145, 0.000], [0.000, 0.000, 4.145]],
  "species": ["Be", "Be", "Be", "Al", "Zn"],
  "fractional_positions": [[0.500, 0.000, 0.000], [0.000, 0.500, 0.000], [0.000, 0.000, 0.500], [0.500, 0.500, 0.500], [0.000, 0.000, 0.000]]
}

=====

Entry 10:
{
  "formula": "BeAl3Zn",
  "functional": "PBE",
  "state": "relaxed",
  "crystal_system": "cubic",
  "spacegroup": "No. 221",
  "e_above_lowest_polymorph_kj_per_mol_atoms": 48.07,
  "cell": [[4.678, 0.000, 0.000], [0.000, 4.678, 0.000], [0.000, 0.000, 4.678]],
  "species": ["Al", "Al", "Al", "Zn", "Be"],
  "fractional_positions": [[0.000, 0.000, 0.500], [0.500, 0.000, 0.000], [0.000, 0.500, 0.000], [0.000, 0.000, 0.000], [0.500, 0.500, 0.500]]
}

=====

Entry 11:
{
  "formula": "BeAlZn2",
  "functional": "PBE",
  "state": "relaxed",
  "crystal_system": "cubic",
  "spacegroup": "No. 225",
  "e_above_lowest_polymorph_kj_per_mol_atoms": 16.46,
  "cell": [[0.000, 3.035, 3.035], [3.035, 0.000, 3.035], [3.035, 3.035, 0.000]],
  "species": ["Zn", "Zn", "Al", "Be"],
  "fractional_positions": [[0.250, 0.250, 0.250], [0.750, 0.750, 0.750], [0.500, 0.500, 0.500], [0.000, 0.000, 0.000]]
}

=====

Entry 12:
{
  "formula": "Zr2BeAlZn",
  "functional": "PBE",
  "state": "relaxed",
  "crystal_system": "tetragonal",
  "spacegroup": "No. 123",
  "dft_energy_ev_per_atom": -4.5274,
  "cell": [[-4.636, -1.342, 1.495], [1.630, -2.851, 2.497], [0.221, 3.397, 3.734]],
  "species": ["Be", "Al", "Zn", "Zr", "Zr"],
  "fractional_positions": [[0.000, 0.500, 0.000], [0.000, 0.000, 0.000], [0.500, 0.500, 0.500], [0.500, 0.000, 0.000], [0.000, 0.000, 0.500]]
}

=====

no.,volume (Å³/f.u.),magnetic moment (μB/cell)
1,56,0.00
2,57,0.00
3,49,0.00
4,49,0.00
5,56,0.00
6,58,0.00
7,58,0.00
8,49,0.00
9,71,0.00
10,102,0.00
11,56,0.00
12,105,0.00